a) Compound: V3S
Source: the Alexandria database
Functional: PBE
Structure: optimized geometry

Cell: 7.0515 7.0515 7.0515 Å, 95.97 95.97 142.36°
Last column: nearest neighbours and their distance in Å.
Sites, in units of the cell vectors:
1 V 0.0000 0.3573 0.3573  4 S 2.36-2.40
2 V 0.0000 0.6427 0.6427  4 S 2.36-2.40
3 V 0.0623 0.0623 0.6007  2 S 2.33
4 V 0.1470 0.3296 0.0000  2 S 2.38, 1 V 2.44
5 V 0.3296 0.1470 0.0000  2 S 2.38, 1 V 2.44
6 V 0.3573 0.0000 0.3573  4 S 2.36-2.40
7 V 0.4616 0.4616 0.3993  2 S 2.33
8 V 0.5384 0.9377 0.0000  2 S 2.33
9 V 0.6427 0.0000 0.6427  4 S 2.36-2.40
10 V 0.6704 0.6704 0.8173  2 S 2.38, 1 V 2.44
11 V 0.8530 0.8530 0.1827  2 S 2.38, 1 V 2.44
12 V 0.9377 0.5384 0.0000  2 S 2.33
13 S 0.2109 0.5000 0.7109  8 V 2.33-2.40
14 S 0.5000 0.2109 0.7109  8 V 2.33-2.40
15 S 0.5000 0.7891 0.2891  8 V 2.33-2.40
16 S 0.7891 0.5000 0.2891  8 V 2.33-2.40



b) Compound: V3S
Source: the Alexandria database
Functional: PBE
Structure: optimized geometry

Cell: 2.8658 3.0195 6.5539 Å, 90.00 90.00 90.00°
Last column: nearest neighbours and their distance in Å.
Sites, in units of the cell vectors:
1 V 0.0000 0.0000 0.0000  8 V 2.58-2.87
2 V 0.0000 0.5000 0.3187  4 S 2.32, 2 V 2.58
3 V 0.5000 0.5000 0.7491  2 S 2.35
4 S 0.5000 0.0000 0.4752  6 V 2.32-2.35



Most favorable structure: a). The second most favorable one is 0.515 eV/atom above it.



a) Compound: VWS4
Source: the Alexandria database
Functional: PBE
Structure: optimized geometry

Cell: 6.4372 5.3123 6.8125 Å, 90.00 118.22 90.00°
Last column: nearest neighbours and their distance in Å.
Sites, in units of the cell vectors:
1 V 0.0000 0.0000 0.0000  6 S 2.35-2.40
2 V 0.0000 0.5000 0.5000  6 S 2.35-2.40
3 W 0.5000 0.0000 0.0000  6 S 2.39
4 W 0.5000 0.5000 0.5000  6 S 2.39
5 S 0.1712 0.2200 0.3488  2 V 2.36-2.40, 1 W 2.39
6 S 0.1712 0.2800 0.8488  2 V 2.36-2.40, 1 W 2.39
7 S 0.3225 0.7213 0.1525  1 V 2.35, 2 W 2.39
8 S 0.3225 0.7787 0.6525  1 V 2.35, 2 W 2.39
9 S 0.6775 0.2213 0.3475  1 V 2.35, 2 W 2.39
10 S 0.6775 0.2787 0.8475  1 V 2.35, 2 W 2.39
11 S 0.8288 0.7200 0.1512  2 V 2.36-2.40, 1 W 2.39
12 S 0.8288 0.7800 0.6512  2 V 2.36-2.40, 1 W 2.39



b) Compound: VWS4
Source: the Alexandria database
Functional: PBE
Structure: optimized geometry

Cell: 6.9005 6.9005 5.5445 Å, 99.26 99.26 26.81°
Last column: nearest neighbours and their distance in Å.
Sites, in units of the cell vectors:
1 V 0.0000 0.0000 0.0000  6 S 2.37-2.38
2 W 0.5000 0.5000 0.5000  6 S 2.41-2.42
3 S 0.1162 0.1162 0.3729  1 V 2.38, 2 W 2.42
4 S 0.3865 0.3865 0.1145  2 V 2.37, 1 W 2.41
5 S 0.6135 0.6135 0.8855  2 V 2.37, 1 W 2.41
6 S 0.8838 0.8838 0.6271  1 V 2.38, 2 W 2.42



Most favorable structure: b). The second most favorable one is 0.124 eV/atom above it.



a) Compound: Y2VS2
Source: the Alexandria database
Functional: PBE
Structure: optimized geometry

Cell: 7.1644 7.1644 7.1644 Å, 142.12 142.12 54.65°
Last column: nearest neighbours and their distance in Å.
Sites, in units of the cell vectors:
1 Y 0.1462 0.1462 0.0000  4 S 2.67
2 Y 0.8538 0.8538 0.0000  4 S 2.67
3 V 0.5000 0.5000 0.0000  8 Y 3.78, 8 S 3.94
4 S 0.2500 0.7500 0.5000  4 Y 2.67
5 S 0.7500 0.2500 0.5000  4 Y 2.67



b) Compound: Y2VS2
Source: the Alexandria database
Functional: PBE
Structure: optimized geometry

Cell: 7.8670 7.8670 3.4781 Å, 90.00 90.00 90.00°
Last column: nearest neighbours and their distance in Å.
Sites, in units of the cell vectors:
1 Y 0.1561 0.3439 0.0000  6 S 2.84-2.93, 2 V 2.97
2 Y 0.3439 0.8439 0.0000  6 S 2.84-2.93, 2 V 2.97
3 Y 0.6561 0.1561 0.0000  6 S 2.84-2.93, 2 V 2.97
4 Y 0.8439 0.6561 0.0000  6 S 2.84-2.93, 2 V 2.97
5 V 0.0000 0.0000 0.0000  4 Y 2.97
6 V 0.5000 0.5000 0.0000  4 Y 2.97
7 S 0.1426 0.6426 0.5000  6 Y 2.84-2.93, 1 S 3.17
8 S 0.3574 0.1426 0.5000  6 Y 2.84-2.93, 1 S 3.17
9 S 0.6426 0.8574 0.5000  6 Y 2.84-2.93, 1 S 3.17
10 S 0.8574 0.3574 0.5000  6 Y 2.84-2.93, 1 S 3.17



Most favorable structure: b). The second most favorable one is 0.056 eV/atom above it.



a) Compound: V4ZnS8
Source: the Alexandria database
Functional: PBE
Structure: optimized geometry

Cell: 6.8246 6.8246 6.8246 Å, 60.00 60.00 60.00°
Last column: nearest neighbours and their distance in Å.
Sites, in units of the cell vectors:
1 V 0.1058 0.1058 0.1058  6 S 2.29-2.51
2 V 0.1058 0.1058 0.6825  6 S 2.29-2.51
3 V 0.1058 0.6825 0.1058  6 S 2.29-2.51
4 V 0.6825 0.1058 0.1058  6 S 2.29-2.51
5 Zn 0.5000 0.5000 0.5000  4 S 2.30
6 S 0.3623 0.3623 0.3623  1 Zn 2.30, 3 V 2.51
7 S 0.3623 0.3623 0.9132  1 Zn 2.30, 3 V 2.51
8 S 0.3623 0.9132 0.3623  1 Zn 2.30, 3 V 2.51
9 S 0.3868 0.8711 0.8711  3 V 2.29
10 S 0.8711 0.3868 0.8711  3 V 2.29
11 S 0.8711 0.8711 0.3868  3 V 2.29
12 S 0.8711 0.8711 0.8711  3 V 2.29
13 S 0.9132 0.3623 0.3623  1 Zn 2.30, 3 V 2.51



b) Compound: V4ZnS8
Source: the Alexandria database
Functional: PBE
Structure: optimized geometry

Cell: 7.4825 7.4825 7.4825 Å, 50.58 50.58 50.58°
Last column: nearest neighbours and their distance in Å.
Sites, in units of the cell vectors:
1 V 0.0000 0.0000 0.0000  6 S 2.38
2 V 0.0000 0.5000 0.5000  6 S 2.36
3 V 0.5000 0.0000 0.5000  6 S 2.36
4 V 0.5000 0.5000 0.0000  6 S 2.36
5 Zn 0.5000 0.5000 0.5000  6 S 2.55
6 S 0.2442 0.2442 0.7394  3 V 2.36-2.38, 1 Zn 2.55
7 S 0.2442 0.7394 0.2442  3 V 2.36-2.38, 1 Zn 2.55
8 S 0.2583 0.2583 0.2583  3 V 2.36
9 S 0.2606 0.7558 0.7558  3 V 2.36-2.38, 1 Zn 2.55
10 S 0.7394 0.2442 0.2442  3 V 2.36-2.38, 1 Zn 2.55
11 S 0.7417 0.7417 0.7417  3 V 2.36
12 S 0.7558 0.2606 0.7558  3 V 2.36-2.38, 1 Zn 2.55
13 S 0.7558 0.7558 0.2606  3 V 2.36-2.38, 1 Zn 2.55



c) Compound: V4ZnS8
Source: the Alexandria database
Functional: PBE
Structure: optimized geometry

Cell: 6.9715 6.9715 6.9715 Å, 58.98 58.98 58.98°
Last column: nearest neighbours and their distance in Å.
Sites, in units of the cell vectors:
1 V 0.0000 0.0000 0.0000  6 S 2.41
2 V 0.0000 0.0000 0.5000  6 S 2.40-2.41
3 V 0.0000 0.5000 0.0000  6 S 2.40-2.41
4 V 0.5000 0.0000 0.0000  6 S 2.40-2.41
5 Zn 0.5000 0.5000 0.5000  6 S 2.48
6 S 0.2398 0.7534 0.7534  3 V 2.41, 1 Zn 2.48
7 S 0.2458 0.2458 0.2458  3 V 2.40
8 S 0.2466 0.2466 0.7602  3 V 2.41, 1 Zn 2.48
9 S 0.2466 0.7602 0.2466  3 V 2.41, 1 Zn 2.48
10 S 0.7534 0.2398 0.7534  3 V 2.41, 1 Zn 2.48
11 S 0.7534 0.7534 0.2398  3 V 2.41, 1 Zn 2.48
12 S 0.7542 0.7542 0.7542  3 V 2.40
13 S 0.7602 0.2466 0.2466  3 V 2.41, 1 Zn 2.48



Most favorable structure: a). The second most favorable one is 0.067 eV/atom above it.



a) Compound: VZnS
Source: the Alexandria database
Functional: PBE
Structure: optimized geometry

Cell: 4.6738 3.2219 6.3379 Å, 90.00 100.85 90.00°
Last column: nearest neighbours and their distance in Å.
Sites, in units of the cell vectors:
1 V 0.2152 0.2500 0.0775  4 S 2.32-2.51
2 V 0.7848 0.7500 0.9225  4 S 2.32-2.51
3 Zn 0.2802 0.7500 0.4324  1 S 2.49, 2 Zn 2.62, 2 V 2.74
4 Zn 0.7198 0.2500 0.5676  1 S 2.49, 2 Zn 2.62, 2 V 2.74
5 S 0.2401 0.7500 0.8190  4 V 2.32-2.51, 1 Zn 2.49
6 S 0.7599 0.2500 0.1810  4 V 2.32-2.51, 1 Zn 2.49



b) Compound: VZnS
Source: the Alexandria database
Functional: PBE
Structure: optimized geometry

Cell: 4.2729 4.2729 9.6758 Å, 111.42 111.42 44.90°
Last column: nearest neighbours and their distance in Å.
Sites, in units of the cell vectors:
1 V 0.1592 0.1592 0.0598  1 S 2.24, 1 V 2.32
2 V 0.8408 0.8408 0.9402  1 S 2.24, 1 V 2.32
3 Zn 0.4872 0.4872 0.7958  3 S 2.48-2.52, 3 V 2.58-2.69
4 Zn 0.5128 0.5128 0.2042  3 S 2.48-2.52, 3 V 2.58-2.69
5 S 0.2685 0.2685 0.3112  1 V 2.24, 2 Zn 2.48
6 S 0.7315 0.7315 0.6888  1 V 2.24, 2 Zn 2.48



c) Compound: VZnS
Source: the Alexandria database
Functional: PBE
Structure: optimized geometry

Cell: 5.2721 5.2721 6.0165 Å, 106.98 106.98 35.94°
Last column: nearest neighbours and their distance in Å.
Sites, in units of the cell vectors:
1 V 0.1415 0.1415 0.4623  3 S 2.32-2.35
2 V 0.8585 0.8585 0.5377  3 S 2.32-2.35
3 Zn 0.4199 0.4199 0.2289  2 S 2.46-2.51, 2 V 2.68
4 Zn 0.5801 0.5801 0.7711  2 S 2.46-2.51, 2 V 2.68
5 S 0.3361 0.3361 0.7999  3 V 2.32-2.35, 2 Zn 2.46-2.51
6 S 0.6639 0.6639 0.2001  3 V 2.32-2.35, 2 Zn 2.46-2.51



d) Compound: VZnS
Source: the Alexandria database
Functional: PBE
Structure: optimized geometry

Cell: 6.1579 6.1579 6.1579 Å, 28.59 28.59 28.59°
Last column: nearest neighbours and their distance in Å.
Sites, in units of the cell vectors:
1 V 0.0000 0.0000 0.0000  3 S 2.28
2 Zn 0.5515 0.5515 0.5515  1 S 2.41, 3 V 2.69
3 S 0.4155 0.4155 0.4155  3 V 2.28, 1 Zn 2.41



Most favorable structure: c). The second most favorable one is 0.041 eV/atom above it.



a) Compound: ZrV3S
Source: the Alexandria database
Functional: PBE
Structure: optimized geometry

Cell: 4.6796 4.6796 4.6796 Å, 90.00 90.00 90.00°
Last column: nearest neighbours and their distance in Å.
Sites, in units of the cell vectors:
1 Zr 0.0000 0.0000 0.0000  6 V 2.34
2 V 0.0000 0.0000 0.5000  2 Zr 2.34
3 V 0.0000 0.5000 0.0000  2 Zr 2.34
4 V 0.5000 0.0000 0.0000  2 Zr 2.34
5 S 0.5000 0.5000 0.5000  12 V 3.31



b) Compound: ZrV3S
Source: the Alexandria database
Functional: PBE
Structure: optimized geometry

Cell: 4.3420 4.3420 4.3420 Å, 90.00 90.00 90.00°
Last column: nearest neighbours and their distance in Å.
Sites, in units of the cell vectors:
1 Zr 0.0000 0.0000 0.0000  12 V 3.07
2 V 0.0000 0.5000 0.5000  2 S 2.17
3 V 0.5000 0.0000 0.5000  2 S 2.17
4 V 0.5000 0.5000 0.0000  2 S 2.17
5 S 0.5000 0.5000 0.5000  6 V 2.17



Most favorable structure: b). The second most favorable one is 1.934 eV/atom above it.



a) Compound: WS
Source: the Alexandria database
Functional: PBE
Structure: optimized geometry

Cell: 6.5327 6.5327 6.5327 Å, 90.00 90.00 90.00°
Last column: nearest neighbours and their distance in Å.
Sites, in units of the cell vectors:
1 W 0.0000 0.2500 0.5000  4 S 2.31
2 W 0.0000 0.7500 0.5000  4 S 2.31
3 W 0.2500 0.5000 0.0000  4 S 2.31
4 W 0.5000 0.0000 0.2500  4 S 2.31
5 W 0.5000 0.0000 0.7500  4 S 2.31
6 W 0.7500 0.5000 0.0000  4 S 2.31
7 S 0.0000 0.5000 0.2500  4 W 2.31
8 S 0.0000 0.5000 0.7500  4 W 2.31
9 S 0.2500 0.0000 0.5000  4 W 2.31
10 S 0.5000 0.2500 0.0000  4 W 2.31
11 S 0.5000 0.7500 0.0000  4 W 2.31
12 S 0.7500 0.0000 0.5000  4 W 2.31



b) Compound: WS
Source: the Alexandria database
Functional: PBE
Structure: optimized geometry

Cell: 9.3182 4.2418 5.4959 Å, 90.00 90.00 90.00°
Last column: nearest neighbours and their distance in Å.
Sites, in units of the cell vectors:
1 W 0.0000 0.0081 0.0000  3 S 2.33-2.37
2 W 0.2196 0.3975 0.8853  4 S 2.36-2.45
3 W 0.2804 0.6025 0.3853  4 S 2.36-2.45
4 W 0.5000 0.9918 0.5000  3 S 2.33-2.37
5 W 0.7196 0.6025 0.3853  4 S 2.36-2.45
6 W 0.7804 0.3975 0.8853  4 S 2.36-2.45
7 S 0.0000 0.5911 0.7126  3 W 2.37-2.40
8 S 0.1913 0.1000 0.2644  4 W 2.33-2.45
9 S 0.3087 0.9000 0.7644  4 W 2.33-2.45
10 S 0.5000 0.4089 0.2126  3 W 2.37-2.40
11 S 0.6913 0.9000 0.7644  4 W 2.33-2.45
12 S 0.8087 0.1000 0.2644  4 W 2.33-2.45



c) Compound: WS
Source: the Alexandria database
Functional: PBE
Structure: optimized geometry

Cell: 3.5138 3.5138 3.5138 Å, 60.00 60.00 60.00°
Last column: nearest neighbours and their distance in Å.
Sites, in units of the cell vectors:
1 W 0.0000 0.0000 0.0000  6 S 2.48
2 S 0.5000 0.5000 0.5000  6 W 2.48



d) Compound: WS
Source: the Alexandria database
Functional: PBE
Structure: optimized geometry

Cell: 9.0640 9.0640 3.1402 Å, 90.00 90.00 120.00°
Last column: nearest neighbours and their distance in Å.
Sites, in units of the cell vectors:
1 W 0.1318 0.6312 0.2500  4 S 2.38-2.52
2 W 0.3688 0.5007 0.2500  4 S 2.38-2.52
3 W 0.4993 0.8682 0.2500  4 S 2.38-2.52
4 W 0.5007 0.1318 0.7500  4 S 2.38-2.52
5 W 0.6312 0.4993 0.7500  4 S 2.38-2.52
6 W 0.8682 0.3688 0.7500  4 S 2.38-2.52
7 S 0.0478 0.3372 0.2500  4 W 2.38-2.52
8 S 0.2894 0.9522 0.2500  4 W 2.38-2.52
9 S 0.3372 0.2894 0.7500  4 W 2.38-2.52
10 S 0.6628 0.7106 0.2500  4 W 2.38-2.52
11 S 0.7106 0.0478 0.7500  4 W 2.38-2.52
12 S 0.9522 0.6628 0.7500  4 W 2.38-2.52



Most favorable structure: d). The second most favorable one is 0.441 eV/atom above it.



a) Compound: WS
Source: the Alexandria database
Functional: PBE
Structure: optimized geometry

Cell: 7.3986 7.3986 7.3986 Å, 92.74 92.74 154.74°
Last column: nearest neighbours and their distance in Å.
Sites, in units of the cell vectors:
1 W 0.1467 0.7448 0.8914  4 S 2.35-2.41
2 W 0.2552 0.1467 0.4019  4 S 2.35-2.41
3 W 0.7448 0.8533 0.5981  4 S 2.35-2.41
4 W 0.8533 0.2552 0.1086  4 S 2.35-2.41
5 S 0.0840 0.3075 0.3914  4 W 2.35-2.41
6 S 0.3075 0.9160 0.2235  4 W 2.35-2.41
7 S 0.6925 0.0840 0.7765  4 W 2.35-2.41
8 S 0.9160 0.6925 0.6086  4 W 2.35-2.41



b) Compound: WS
Source: the Alexandria database
Functional: PBE
Structure: optimized geometry

Cell: 3.0233 3.0233 8.1806 Å, 90.00 90.00 120.00°
Last column: nearest neighbours and their distance in Å.
Sites, in units of the cell vectors:
1 W 0.3333 0.6667 0.0000  4 S 2.37-2.49
2 W 0.6667 0.3333 0.5000  4 S 2.37-2.49
3 S 0.3333 0.6667 0.3043  4 W 2.37-2.49
4 S 0.6667 0.3333 0.8043  4 W 2.37-2.49



c) Compound: WS
Source: the Alexandria database
Functional: PBE
Structure: optimized geometry

Cell: 3.1614 11.3996 5.6144 Å, 90.00 90.00 90.00°
Last column: nearest neighbours and their distance in Å.
Sites, in units of the cell vectors:
1 W 0.2500 0.1207 0.0006  4 S 2.43-2.44
2 W 0.2500 0.3793 0.0006  4 S 2.43-2.44
3 W 0.2500 0.7500 0.3016  4 S 2.39-2.53
4 W 0.7500 0.2500 0.6984  4 S 2.39-2.53
5 W 0.7500 0.6207 0.9994  4 S 2.43-2.44
6 W 0.7500 0.8793 0.9994  4 S 2.43-2.44
7 S 0.2500 0.2500 0.3468  4 W 2.44-2.53
8 S 0.2500 0.5405 0.2852  4 W 2.39-2.44
9 S 0.2500 0.9595 0.2852  4 W 2.39-2.44
10 S 0.7500 0.0405 0.7148  4 W 2.39-2.44
11 S 0.7500 0.4595 0.7148  4 W 2.39-2.44
12 S 0.7500 0.7500 0.6532  4 W 2.44-2.53



Most favorable structure: c). The second most favorable one is 0.071 eV/atom above it.